[1]
A relaxed CsNiSe3 crystal, computed with GGA-PBE.

a = 5.778 Å, b = 5.778 Å, c = 5.778 Å
α = 90.00°, β = 90.00°, γ = 90.00°
Sites, in units of the cell vectors:
Cs 0.000 0.000 0.000
Ni 0.500 0.500 0.500
Se 0.000 0.000 0.500
Se 0.000 0.500 0.000
Se 0.500 0.000 0.000



[2]
A relaxed Cs2SiNiSe4 crystal, computed with GGA-PBE.

a = 14.574 Å, b = 13.176 Å, c = 7.644 Å
α = 84.41°, β = 64.13°, γ = 31.46°
Sites, in units of the cell vectors:
Cs 0.054 0.054 0.696
Cs 0.304 0.304 0.946
Cs 0.696 0.696 0.054
Cs 0.946 0.946 0.304
Si 0.375 0.375 0.375
Si 0.625 0.625 0.625
Ni 0.125 0.125 0.125
Ni 0.875 0.875 0.875
Se 0.002 0.650 0.571
Se 0.276 0.571 0.650
Se 0.350 0.998 0.724
Se 0.429 0.724 0.998
Se 0.571 0.276 0.002
Se 0.650 0.002 0.276
Se 0.724 0.429 0.350
Se 0.998 0.350 0.429



Number 1: volume 192.87 Å³ per cell, ΔE_f (raw) 1.6253 eV/atom. Number 2: volume 559.05 Å³ per cell, ΔE_f (raw) -0.7595 eV/atom.